Model A:
The following is a PBE calculation of a relaxed CaIOF2 crystal, from the Alexandria database.

a b c (Å): 4.240 4.240 5.026
angles (deg): 90.00 90.00 90.00
Space group P4/mmm (No. 123)
Asymmetric unit:
Ca (0.000, 0.000, 0.000) x1
I (0.500, 0.500, 0.500) x1
O (0.000, 0.000, 0.500) x1
F (0.000, 0.500, 0.000) x2

Properties
Its density is 4.061 g/cm3. As for the magnetization: 0.5 μB/f.u.

=====

Model B:
The following is a PBE calculation of a relaxed CaIOF2 crystal, from the Alexandria database.

a b c (Å): 5.110 5.110 4.063
angles (deg): 90.00 90.00 90.00
Space group P4/mmm (No. 123)
Asymmetric unit:
Ca (0.000, 0.000, 0.000) x1
I (0.500, 0.500, 0.500) x1
O (0.500, 0.500, 0.000) x1
F (0.000, 0.500, 0.500) x2

Properties
Its density is 3.459 g/cm3. As for the magnetization: 0.0 μB/f.u.

=====

Need the numbers? Relative energies in eV/atom: model A 0.000; model B 0.509.